Entry from the Alexandria database: a relaxed Ca2H2Br crystal (GGA-PBE).

It has space group I4/mmm (No. 139), with a = 3.787 Å, b = 3.787 Å, c = 13.123 Å, α = 90.00°, β = 90.00° and γ = 90.00°. The distinct sites, in fractional coordinates, are Ca at (0.000, 0.000, 0.158), H at (0.000, 0.500, 0.250) and Br at (0.000, 0.000, 0.500).

The calculation puts the total energy at -16.60 eV/f.u.